First-principles (GGA-PBE) data for Na2RuC2 after structural relaxation, as listed in the Alexandria database.

Results
The size of the total moment is 0.00 μB/f.u. The value obtained for the density of states at the Fermi level is 3.16 states/eV per cell. Its space group is I4/mmm, No. 139. The calculation puts the energy of formation from the pure elements at 2299 meV per atom.

a b c (Å): 4.1667 4.1667 4.6484
angles (deg): 63.37 63.37 90.00
Atoms (fractional coordinates):
Na  0.3632  0.3632  0.2736
Na  0.6368  0.6368  0.7264
Ru  0.0000  0.0000  0.0000
C  0.7500  0.2500  0.5000
C  0.2500  0.7500  0.5000